No. 1
The following is a GGA-PBE calculation of crystalline KYTe3Au at its relaxed geometry, from the Open Quantum Materials Database.

Unit cell a=8.569 b=8.569 c=11.313 alpha=90.00 beta=90.00 gamma=151.25
Fractional positions:
Au (0.967, 0.033, 0.250)
Au (0.033, 0.967, 0.750)
K (0.260, 0.740, 0.250)
K (0.740, 0.260, 0.750)
Te (0.870, 0.130, 0.052)
Te (0.578, 0.422, 0.250)
Te (0.870, 0.130, 0.448)
Te (0.130, 0.870, 0.552)
Te (0.422, 0.578, 0.750)
Te (0.130, 0.870, 0.948)
Y (0.500, 0.500, 0.000)
Y (0.500, 0.500, 0.500)

Results
SG: No. 63
Electronic total energy: -0.3162 Ry/atom
Density: 5.88 g/cm3

No. 2
The following is a GGA-PBE calculation of crystalline HoZnAu at its relaxed geometry, from the Open Quantum Materials Database.

Unit cell a=4.725 b=4.725 c=4.725 alpha=60.00 beta=60.00 gamma=60.00
Fractional positions:
Au (0.250, 0.250, 0.250)
Ho (0.000, 0.000, 0.000)
Zn (0.750, 0.750, 0.750)

Results
SG: No. 216
Electronic total energy: -0.2361 Ry/atom
Density: 9.52 g/cm3
Formation energy: -176.2 meV per atom

No. 3
The following is a GGA-PBE calculation of crystalline KBeNiAs at its relaxed geometry, from the Open Quantum Materials Database.

Unit cell a=4.624 b=4.624 c=4.624 alpha=60.00 beta=60.00 gamma=60.00
Fractional positions:
As (0.000, 0.000, 0.000)
Be (0.750, 0.750, 0.750)
K (0.250, 0.250, 0.250)
Ni (0.500, 0.500, 0.500)

Results
SG: No. 216
Electronic total energy: -0.2193 Ry/atom
Density: 4.32 g/cm3

No. 4
The following is a GGA-PBE calculation of crystalline Ag15Sn at its relaxed geometry, from the Open Quantum Materials Database.

Unit cell a=4.082 b=4.092 c=44.506 alpha=90.01 beta=90.01 gamma=90.12
Fractional positions:
Ag (0.500, 0.250, 0.143)
Ag (0.000, 0.250, 0.191)
Ag (0.500, 0.750, 0.191)
Ag (0.000, 0.750, 0.239)
Ag (0.500, 0.250, 0.239)
Ag (0.000, 0.250, 0.287)
Ag (0.500, 0.750, 0.287)
Ag (0.000, 0.750, 0.334)
Ag (0.500, 0.250, 0.334)
Ag (0.000, 0.250, 0.382)
Ag (0.500, 0.750, 0.382)
Ag (0.000, 0.750, 0.429)
Ag (0.500, 0.250, 0.429)
Ag (0.000, 0.250, 0.477)
Ag (0.500, 0.750, 0.477)
Ag (0.500, 0.250, 0.523)
Ag (0.000, 0.750, 0.523)
Ag (0.500, 0.750, 0.571)
Ag (0.000, 0.250, 0.571)
Ag (0.500, 0.250, 0.618)
Ag (0.000, 0.750, 0.618)
Ag (0.500, 0.750, 0.666)
Ag (0.000, 0.250, 0.666)
Ag (0.500, 0.250, 0.713)
Ag (0.000, 0.750, 0.713)
Ag (0.500, 0.750, 0.761)
Ag (0.000, 0.250, 0.761)
Ag (0.500, 0.250, 0.809)
Ag (0.000, 0.750, 0.809)
Ag (0.500, 0.750, 0.857)
Sn (0.000, 0.750, 0.138)
Sn (0.000, 0.250, 0.862)

Results
SG: No. 13
Electronic total energy: -0.2106 Ry/atom
Density: 7.76 g/cm3

No. 5
The following is a GGA-PBE calculation of crystalline LuMgGaPt at its relaxed geometry, from the Open Quantum Materials Database.

Unit cell a=4.739 b=4.739 c=4.739 alpha=60.00 beta=60.00 gamma=60.00
Fractional positions:
Ga (0.000, 0.000, 0.000)
Lu (0.250, 0.250, 0.250)
Mg (0.750, 0.750, 0.750)
Pt (0.500, 0.500, 0.500)

Results
SG: No. 216
Electronic total energy: -0.3351 Ry/atom
Density: 10.24 g/cm3

No. 6
The following is a GGA-PBE calculation of crystalline Cu2Ag3 at its relaxed geometry, from the Open Quantum Materials Database.

Unit cell a=7.520 b=7.520 c=7.665 alpha=105.02 beta=105.02 gamma=21.83
Fractional positions:
Ag (0.188, 0.188, 0.094)
Ag (0.803, 0.803, 0.389)
Ag (0.003, 0.003, 0.490)
Ag (0.197, 0.197, 0.599)
Ag (0.407, 0.407, 0.714)
Ag (0.803, 0.803, 0.916)
Cu (0.001, 0.001, 0.014)
Cu (0.410, 0.410, 0.194)
Cu (0.593, 0.593, 0.287)
Cu (0.595, 0.595, 0.803)

Results
SG: No. 8
Electronic total energy: -0.2276 Ry/atom
Density: 9.63 g/cm3
Formation energy: 84.8 meV per atom

No. 7
The following is a GGA-PBE calculation of crystalline ZnCuSnHgSe4 at its relaxed geometry, from the Open Quantum Materials Database.

Unit cell a=7.382 b=7.382 c=7.382 alpha=132.34 beta=132.34 gamma=69.70
Fractional positions:
Cu (0.250, 0.750, 0.500)
Hg (0.500, 0.500, 0.000)
Se (0.133, 0.664, 0.049)
Se (0.336, 0.385, 0.469)
Se (0.916, 0.867, 0.531)
Se (0.615, 0.084, 0.951)
Sn (0.750, 0.250, 0.500)
Zn (0.000, 0.000, 0.000)

Results
SG: No. 82
Electronic total energy: -0.2383 Ry/atom
Density: 5.89 g/cm3

No. 8
The following is a GGA-PBE calculation of crystalline Ni3C at its relaxed geometry, from the Open Quantum Materials Database.

Unit cell a=4.957 b=6.780 c=4.459 alpha=90.00 beta=90.00 gamma=90.00
Fractional positions:
C (0.119, 0.750, 0.054)
C (0.619, 0.750, 0.446)
C (0.381, 0.250, 0.554)
C (0.881, 0.250, 0.946)
Ni (0.542, 0.250, 0.163)
Ni (0.827, 0.573, 0.178)
Ni (0.827, 0.927, 0.178)
Ni (0.327, 0.573, 0.322)
Ni (0.327, 0.927, 0.322)
Ni (0.042, 0.250, 0.337)
Ni (0.958, 0.750, 0.663)
Ni (0.673, 0.073, 0.678)
Ni (0.673, 0.427, 0.678)
Ni (0.173, 0.073, 0.822)
Ni (0.173, 0.427, 0.822)
Ni (0.458, 0.750, 0.837)

Results
SG: No. 62
Electronic total energy: -0.4692 Ry/atom
Density: 8.34 g/cm3

No. 9
The following is a GGA-PBE calculation of crystalline PaBeRe at its relaxed geometry, from the Open Quantum Materials Database.

Unit cell a=4.219 b=4.219 c=4.219 alpha=60.00 beta=60.00 gamma=60.00
Fractional positions:
Be (0.000, 0.000, 0.000)
Pa (0.250, 0.250, 0.250)
Re (0.750, 0.750, 0.750)

Results
SG: No. 216
Electronic total energy: -0.6086 Ry/atom
Density: 13.33 g/cm3

No. 10
The following is a GGA-PBE calculation of crystalline CsTmHfSe3 at its relaxed geometry, from the Open Quantum Materials Database.

Unit cell a=8.523 b=8.523 c=10.683 alpha=90.00 beta=90.00 gamma=151.64
Fractional positions:
Se (0.112, 0.888, 0.030)
Se (0.434, 0.566, 0.250)
Se (0.112, 0.888, 0.470)
Se (0.888, 0.112, 0.530)
Se (0.566, 0.434, 0.750)
Se (0.888, 0.112, 0.970)
Tm (0.035, 0.965, 0.250)
Tm (0.965, 0.035, 0.750)
Cs (0.755, 0.245, 0.250)
Cs (0.245, 0.755, 0.750)
Hf (0.500, 0.500, 0.000)
Hf (0.500, 0.500, 0.500)

Results
SG: No. 63
Electronic total energy: -0.4080 Ry/atom
Density: 6.46 g/cm3

No. 11
The following is a GGA-PBE calculation of crystalline Sm4Mg7Ge6 at its relaxed geometry, from the Open Quantum Materials Database.

Unit cell a=4.404 b=8.562 c=10.886 alpha=95.24 beta=101.67 gamma=104.90
Fractional positions:
Ge (0.871, 0.721, 0.021)
Ge (0.703, 0.092, 0.313)
Ge (0.468, 0.589, 0.347)
Ge (0.532, 0.411, 0.653)
Ge (0.297, 0.908, 0.687)
Ge (0.129, 0.279, 0.979)
Mg (0.099, 0.058, 0.139)
Mg (0.463, 0.773, 0.153)
Mg (0.334, 0.271, 0.397)
Mg (0.000, 0.500, 0.500)
Mg (0.666, 0.729, 0.603)
Mg (0.537, 0.227, 0.847)
Mg (0.901, 0.942, 0.861)
Sm (0.791, 0.421, 0.162)
Sm (0.120, 0.853, 0.387)
Sm (0.880, 0.147, 0.613)
Sm (0.209, 0.579, 0.838)

Results
SG: No. 12
Electronic total energy: -0.2892 Ry/atom
Density: 5.22 g/cm3

No. 12
The following is a GGA-PBE calculation of crystalline Ho2ErAl3CuSn2 at its relaxed geometry, from the Open Quantum Materials Database.

Unit cell a=4.255 b=7.269 c=7.269 alpha=119.92 beta=90.00 gamma=90.00
Fractional positions:
Al (0.500, 0.224, 0.000)
Al (0.500, 0.000, 0.224)
Al (0.500, 0.777, 0.777)
Cu (0.000, 0.001, 0.001)
Er (0.000, 0.386, 0.386)
Ho (0.000, 0.000, 0.613)
Ho (0.000, 0.613, 0.000)
Sn (0.500, 0.666, 0.333)
Sn (0.500, 0.333, 0.666)

Results
SG: No. 38
Electronic total energy: -0.3392 Ry/atom
Density: 7.49 g/cm3

No. 13
The following is a GGA-PBE calculation of crystalline TbY2Ge3PdPt2 at its relaxed geometry, from the Open Quantum Materials Database.

Unit cell a=3.918 b=7.255 c=7.255 alpha=120.00 beta=90.00 gamma=90.00
Fractional positions:
Ge (0.500, 0.744, 0.000)
Ge (0.500, 0.256, 0.256)
Ge (0.500, 0.000, 0.744)
Pd (0.000, 0.000, 0.000)
Pt (0.500, 0.667, 0.334)
Pt (0.500, 0.334, 0.667)
Tb (0.000, 0.594, 0.594)
Y (0.000, 0.405, 0.000)
Y (0.000, 0.000, 0.405)

Results
SG: No. 38
Electronic total energy: -0.4723 Ry/atom
Density: 9.77 g/cm3

No. 14
The following is a GGA-PBE calculation of crystalline CdCo2S4 at its relaxed geometry, from the Open Quantum Materials Database.

Unit cell a=6.204 b=6.204 c=6.204 alpha=127.97 beta=127.97 gamma=76.67
Fractional positions:
Cd (0.500, 0.500, 0.000)
Co (0.000, 0.000, 0.000)
Co (0.250, 0.750, 0.500)
S (0.934, 0.366, 0.028)
S (0.094, 0.066, 0.432)
S (0.634, 0.662, 0.568)
S (0.338, 0.906, 0.972)

Results
SG: No. 82
Electronic total energy: -0.3490 Ry/atom
Density: 4.13 g/cm3

No. 15
The following is a GGA-PBE calculation of crystalline HoCo at its relaxed geometry, from the Open Quantum Materials Database.

Unit cell a=4.139 b=4.139 c=4.139 alpha=60.00 beta=60.00 gamma=60.00
Fractional positions:
Co (0.000, 0.000, 0.000)
Ho (0.250, 0.250, 0.250)

Results
SG: No. 216
Electronic total energy: -0.3618 Ry/atom
Density: 7.41 g/cm3
Formation energy: 919.1 meV per atom

No. 16
The following is a GGA-PBE calculation of crystalline YReNO at its relaxed geometry, from the Open Quantum Materials Database.

Unit cell a=5.275 b=5.275 c=3.911 alpha=90.00 beta=90.00 gamma=101.29
Fractional positions:
N (0.771, 0.771, 0.500)
N (0.229, 0.229, 0.500)
O (0.640, 0.361, 0.000)
O (0.361, 0.640, 0.000)
Re (0.226, 0.226, 0.000)
Re (0.774, 0.774, 0.000)
Y (0.758, 0.241, 0.500)
Y (0.241, 0.758, 0.500)

Results
SG: No. 65
Electronic total energy: -0.6672 Ry/atom
Density: 9.49 g/cm3

No. 17
The following is a GGA-PBE calculation of crystalline YFeBW at its relaxed geometry, from the Open Quantum Materials Database.

Unit cell a=4.356 b=4.356 c=4.356 alpha=60.00 beta=60.00 gamma=60.00
Fractional positions:
B (0.000, 0.000, 0.000)
Fe (0.750, 0.750, 0.750)
W (0.500, 0.500, 0.500)
Y (0.250, 0.250, 0.250)

Results
SG: No. 216
Electronic total energy: -0.5579 Ry/atom
Density: 9.64 g/cm3

No. 18
The following is a GGA-PBE calculation of crystalline KErCdSe3 at its relaxed geometry, from the Open Quantum Materials Database.

Unit cell a=8.739 b=4.216 c=10.343 alpha=90.00 beta=108.26 gamma=90.00
Fractional positions:
Cd (0.583, 0.250, 0.113)
Cd (0.417, 0.750, 0.887)
Er (0.823, 0.750, 0.368)
Er (0.177, 0.250, 0.632)
K (0.269, 0.750, 0.252)
K (0.731, 0.250, 0.748)
Se (0.740, 0.750, 0.052)
Se (0.037, 0.250, 0.351)
Se (0.597, 0.250, 0.368)
Se (0.403, 0.750, 0.632)
Se (0.963, 0.750, 0.649)
Se (0.260, 0.250, 0.948)

Results
SG: No. 11
Electronic total energy: -0.3060 Ry/atom
Density: 5.10 g/cm3

No. 19
The following is a GGA-PBE calculation of crystalline Ho2NiSn6 at its relaxed geometry, from the Open Quantum Materials Database.

Unit cell a=11.550 b=11.550 c=4.421 alpha=90.00 beta=90.00 gamma=158.21
Fractional positions:
Ho (0.678, 0.322, 0.500)
Ho (0.322, 0.678, 0.500)
Ni (0.000, 0.000, 0.000)
Sn (0.795, 0.205, 0.000)
Sn (0.570, 0.430, 0.000)
Sn (0.430, 0.570, 0.000)
Sn (0.205, 0.795, 0.000)
Sn (0.930, 0.070, 0.500)
Sn (0.070, 0.930, 0.500)

Results
SG: No. 65
Electronic total energy: -0.3502 Ry/atom
Density: 8.35 g/cm3

No. 20
The following is a GGA-PBE calculation of crystalline Tm2Ga8Co at its relaxed geometry, from the Open Quantum Materials Database.

Unit cell a=4.201 b=4.201 c=11.006 alpha=90.00 beta=90.00 gamma=90.00
Fractional positions:
Co (0.000, 0.000, 0.000)
Ga (0.500, 0.000, 0.118)
Ga (0.000, 0.500, 0.118)
Ga (0.500, 0.500, 0.307)
Ga (0.500, 0.000, 0.500)
Ga (0.000, 0.500, 0.500)
Ga (0.500, 0.500, 0.693)
Ga (0.500, 0.000, 0.882)
Ga (0.000, 0.500, 0.882)
Tm (0.000, 0.000, 0.306)
Tm (0.000, 0.000, 0.694)

Results
SG: No. 123
Electronic total energy: -0.3040 Ry/atom
Density: 8.16 g/cm3